1.
Density functional theory data (PBE) for ErLu2Zr after structural relaxation.

a b c (Å): 3.9431 3.9431 7.1807
angles (deg): 90.00 90.00 90.00
Closest atoms and distances in Å follow each position.
Element x y z (fractional)
Er  0.0000  0.0000  0.0000  8 Lu 3.41, 2 Zr 3.59
Lu  0.5000  0.5000  0.2723  4 Zr 3.23, 1 Lu 3.27, 4 Er 3.41
Lu  0.5000  0.5000  0.7277  4 Zr 3.23, 1 Lu 3.27, 4 Er 3.41
Zr  0.0000  0.0000  0.5000  8 Lu 3.23, 2 Er 3.59

Offset from the most stable computed form = 82 meV per atom
V = 27.9 Å³ per atom
Crystal system = tetragonal

***

2.
Density functional theory data (PBE) for ErLu2Zr after structural relaxation.

a b c (Å): 4.7893 4.7893 4.7905
angles (deg): 90.00 90.00 90.00
Closest atoms and distances in Å follow each position.
Element x y z (fractional)
Er  0.0000  0.0000  0.0000  4 Zr 3.39, 8 Lu 3.39
Lu  0.0000  0.5000  0.5000  4 Lu 3.39, 4 Zr 3.39, 4 Er 3.39
Lu  0.5000  0.0000  0.5000  4 Lu 3.39, 4 Zr 3.39, 4 Er 3.39
Zr  0.5000  0.5000  0.0000  4 Er 3.39, 8 Lu 3.39

Offset from the most stable computed form = 0 meV per atom
V = 27.5 Å³ per atom
Crystal system = tetragonal

***

3.
Density functional theory data (PBE) for ErLuZr2 after structural relaxation.

a b c (Å): 3.8986 3.8986 6.8094
angles (deg): 90.00 90.00 90.00
Closest atoms and distances in Å follow each position.
Element x y z (fractional)
Er  0.0000  0.0000  0.0000  8 Zr 3.30, 2 Lu 3.40
Lu  0.0000  0.0000  0.5000  8 Zr 3.18, 2 Er 3.40
Zr  0.5000  0.5000  0.2667  1 Zr 3.18, 4 Lu 3.18, 4 Er 3.30
Zr  0.5000  0.5000  0.7333  1 Zr 3.18, 4 Lu 3.18, 4 Er 3.30

Offset from the most stable computed form = 115 meV per atom
V = 25.9 Å³ per atom
Crystal system = tetragonal

***

4.
Density functional theory data (PBE) for ErLuZr after structural relaxation.

a b c (Å): 7.6069 7.6069 7.6069
angles (deg): 154.38 154.38 36.55
Closest atoms and distances in Å follow each position.
Element x y z (fractional)
Er  0.0000  0.0000  0.0000  4 Zr 3.30, 4 Er 3.37, 4 Lu 3.60
Lu  0.3134  0.3134  0.0000  4 Zr 3.27, 4 Lu 3.37, 4 Er 3.60
Zr  0.6582  0.6582  0.0000  4 Lu 3.27, 4 Er 3.30, 4 Zr 3.37

Offset from the most stable computed form = 0 meV per atom
V = 27.4 Å³ per atom
Crystal system = tetragonal

***

5.
Density functional theory data (PBE) for Er5Mg after structural relaxation.

a b c (Å): 6.3468 6.3468 8.4768
angles (deg): 111.18 111.18 33.96
Closest atoms and distances in Å follow each position.
Element x y z (fractional)
Er  0.0000  0.0000  0.0000  2 Mg 3.15, 6 Er 3.35-3.53
Er  0.0234  0.0234  0.4567  2 Mg 3.25, 7 Er 3.52-3.59
Er  0.3528  0.3528  0.6479  12 Er 3.39-3.71
Er  0.6807  0.6807  0.8368  2 Mg 3.24, 7 Er 3.53-3.59
Er  0.7048  0.7048  0.2963  2 Mg 3.15, 6 Er 3.35-3.52
Mg  0.3515  0.3515  0.1470  8 Er 3.15-3.25

Offset from the most stable computed form = 2 meV per atom
V = 29.4 Å³ per atom
Crystal system = monoclinic

***

6.
Density functional theory data (PBE) for Er2Mg17 after structural relaxation.

a b c (Å): 7.7703 7.7703 7.7703
angles (deg): 81.93 81.93 81.93
Closest atoms and distances in Å follow each position.
Element x y z (fractional)
Er  0.1722  0.1722  0.1722  16 Mg 3.48-3.83
Er  0.8278  0.8278  0.8278  16 Mg 3.48-3.83
Mg  0.0000  0.5000  0.5000  10 Mg 2.99-3.11
Mg  0.1470  0.1470  0.6606  8 Mg 2.90-3.19
Mg  0.1470  0.6606  0.1470  8 Mg 2.90-3.19
Mg  0.1934  0.5000  0.8066  8 Mg 2.99-3.19
Mg  0.1934  0.8066  0.5000  8 Mg 2.99-3.19
Mg  0.3394  0.8530  0.8530  8 Mg 2.90-3.19
Mg  0.4006  0.4006  0.4006  7 Mg 3.03-3.27
Mg  0.5000  0.0000  0.5000  10 Mg 2.99-3.11
Mg  0.5000  0.1934  0.8066  8 Mg 2.99-3.19
Mg  0.5000  0.5000  0.0000  10 Mg 2.99-3.11
Mg  0.5000  0.8066  0.1934  8 Mg 2.99-3.19
Mg  0.5994  0.5994  0.5994  7 Mg 3.03-3.27
Mg  0.6606  0.1470  0.1470  8 Mg 2.90-3.19
Mg  0.8066  0.1934  0.5000  8 Mg 2.99-3.19
Mg  0.8066  0.5000  0.1934  8 Mg 2.99-3.19
Mg  0.8530  0.3394  0.8530  8 Mg 2.90-3.19
Mg  0.8530  0.8530  0.3394  8 Mg 2.90-3.19

Calculated total energy = -1.91 eV per atom
V = 24.0 Å³ per atom
Crystal system = trigonal

***

7.
Density functional theory data (PBE) for Er3Mg after structural relaxation.

a b c (Å): 6.5274 6.5274 6.5274
angles (deg): 146.32 60.63 131.17
Closest atoms and distances in Å follow each position.
Element x y z (fractional)
Er  0.0000  0.0000  0.0000  4 Mg 3.29-3.30, 4 Er 3.60
Er  0.2732  0.5019  0.7713  2 Mg 3.20, 4 Er 3.33
Er  0.7306  0.5019  0.2287  2 Mg 3.20, 4 Er 3.33
Mg  0.4998  0.9998  0.5000  8 Er 3.20-3.30

Calculated total energy = -3.83 eV per atom
V = 28.7 Å³ per atom
Crystal system = orthorhombic

***

8.
Density functional theory data (PBE) for ErMg4 after structural relaxation.

a b c (Å): 8.7306 8.7306 8.7306
angles (deg): 109.47 109.47 109.47
Closest atoms and distances in Å follow each position.
Element x y z (fractional)
Er  0.0000  0.0000  0.4225  7 Mg 3.19-3.53
Er  0.0000  0.4225  0.0000  7 Mg 3.19-3.53
Er  0.4225  0.0000  0.0000  7 Mg 3.19-3.53
Er  0.5775  0.5775  0.5775  7 Mg 3.19-3.53
Mg  0.0000  0.0000  0.7875  6 Mg 2.87-3.03, 1 Er 3.19
Mg  0.0000  0.3485  0.3485  7 Mg 2.87-3.05
Mg  0.0000  0.6515  0.6515  7 Mg 2.87-3.05
Mg  0.0000  0.7875  0.0000  6 Mg 2.87-3.03, 1 Er 3.19
Mg  0.2125  0.2125  0.2125  6 Mg 2.87-3.03, 1 Er 3.19
Mg  0.2500  0.5000  0.7500  4 Mg 2.95
Mg  0.2500  0.7500  0.5000  4 Mg 2.95
Mg  0.3485  0.0000  0.3485  7 Mg 2.87-3.05
Mg  0.3485  0.3485  0.0000  7 Mg 2.87-3.05
Mg  0.5000  0.2500  0.7500  4 Mg 2.95
Mg  0.5000  0.7500  0.2500  4 Mg 2.95
Mg  0.6515  0.0000  0.6515  7 Mg 2.87-3.05
Mg  0.6515  0.6515  0.0000  7 Mg 2.87-3.05
Mg  0.7500  0.2500  0.5000  4 Mg 2.95
Mg  0.7500  0.5000  0.2500  4 Mg 2.95
Mg  0.7875  0.0000  0.0000  6 Mg 2.87-3.03, 1 Er 3.19

Offset from the most stable computed form = 135 meV per atom
V = 25.6 Å³ per atom
Crystal system = cubic

***

9.
Density functional theory data (PBE) for Er4Mg after structural relaxation.

a b c (Å): 3.4901 3.4901 14.1086
angles (deg): 97.08 97.08 59.97
Closest atoms and distances in Å follow each position.
Element x y z (fractional)
Er  0.1034  0.1034  0.3069  3 Mg 3.36-3.37, 9 Er 3.49-3.50
Er  0.2989  0.2989  0.8974  12 Er 3.49-3.51
Er  0.7011  0.7011  0.1026  12 Er 3.49-3.51
Er  0.8966  0.8966  0.6931  3 Mg 3.36-3.37, 9 Er 3.49-3.50
Mg  0.5000  0.5000  0.5000  6 Er 3.36-3.37, 6 Mg 3.49

Offset from the most stable computed form = 36 meV per atom
V = 29.5 Å³ per atom
Crystal system = monoclinic

***

10.
Density functional theory data (PBE) for Er2Mg after structural relaxation.

a b c (Å): 7.1104 7.1104 7.1104
angles (deg): 150.91 150.91 41.60
Closest atoms and distances in Å follow each position.
Element x y z (fractional)
Er  0.1618  0.1618  0.0000  4 Mg 3.32, 8 Er 3.45-3.57
Er  0.8382  0.8382  0.0000  4 Mg 3.32, 8 Er 3.45-3.57
Mg  0.5000  0.5000  0.0000  8 Er 3.32, 4 Mg 3.57

Calculated total energy = -3.61 eV per atom
V = 28.3 Å³ per atom
Crystal system = tetragonal

***

11.
Density functional theory data (PBE) for ErMg after structural relaxation.

a b c (Å): 3.7652 3.7652 3.7652
angles (deg): 90.00 90.00 90.00
Closest atoms and distances in Å follow each position.
Element x y z (fractional)
Er  0.0000  0.0000  0.0000  8 Mg 3.26
Mg  0.5000  0.5000  0.5000  8 Er 3.26

Calculated total energy = -3.15 eV per atom
V = 26.7 Å³ per atom
Crystal system = cubic

***

12.
Density functional theory data (PBE) for Er3Mg after structural relaxation.

a b c (Å): 6.9444 6.9444 5.5207
angles (deg): 90.00 90.00 120.00
Closest atoms and distances in Å follow each position.
Element x y z (fractional)
Er  0.1693  0.3386  0.2500  4 Mg 3.39-3.47, 8 Er 3.42-3.53
Er  0.1693  0.8307  0.2500  4 Mg 3.39-3.47, 8 Er 3.42-3.53
Er  0.3386  0.1693  0.7500  4 Mg 3.39-3.47, 8 Er 3.42-3.53
Er  0.6614  0.8307  0.2500  4 Mg 3.39-3.47, 8 Er 3.42-3.53
Er  0.8307  0.1693  0.7500  4 Mg 3.39-3.47, 8 Er 3.42-3.53
Er  0.8307  0.6614  0.7500  4 Mg 3.39-3.47, 8 Er 3.42-3.53
Mg  0.3333  0.6667  0.7500  12 Er 3.39-3.47
Mg  0.6667  0.3333  0.2500  12 Er 3.39-3.47

Calculated total energy = -3.81 eV per atom
V = 28.8 Å³ per atom
Crystal system = hexagonal